Record 1
This record from the Open Quantum Materials Database describes crystalline DyFeNi3B at its relaxed geometry. The functional is GGA-PBE.

Unit cell a=5.0137 b=5.0137 c=6.9950 alpha=90.00 beta=90.00 gamma=120.00
Closest atoms and distances in Å follow each position.
Element x y z (fractional)
B (0.6667, 0.3333, 0.5000)  6 Ni 2.04
B (0.3333, 0.6667, 0.5000)  6 Ni 2.04
Dy (0.0000, 0.0000, 0.0000)  6 Fe 2.89, 12 Ni 3.24
Dy (0.0000, 0.0000, 0.5000)  12 Ni 2.89, 6 B 2.89
Fe (0.6667, 0.3333, 0.0000)  6 Ni 2.51
Fe (0.3333, 0.6667, 0.0000)  6 Ni 2.51
Ni (0.5000, 0.0000, 0.2936)  2 B 2.04
Ni (0.0000, 0.5000, 0.2936)  2 B 2.04
Ni (0.5000, 0.5000, 0.2936)  2 B 2.04
Ni (0.5000, 0.0000, 0.7064)  2 B 2.04
Ni (0.0000, 0.5000, 0.7064)  2 B 2.04
Ni (0.5000, 0.5000, 0.7064)  2 B 2.04

total magnetization = 2.53 μB/f.u.
crystal system = hexagonal
space group = P6/mmm (191)
energy = -6.44 eV/atom


Record 2
This record from the Open Quantum Materials Database describes crystalline Na2In4CuPt at its relaxed geometry. The functional is GGA-PBE.

Unit cell a=7.8823 b=5.6555 c=5.6555 alpha=45.21 beta=90.00 gamma=90.00
Closest atoms and distances in Å follow each position.
Element x y z (fractional)
Cu (0.5000, 0.7171, 0.7171)  6 In 2.77-2.78, 1 Na 2.98
In (0.3035, 0.1430, 0.1430)  2 Cu 2.78, 1 Pt 2.80, 2 In 3.10
In (0.6965, 0.1430, 0.1430)  2 Cu 2.78, 1 Pt 2.80, 2 In 3.10
In (0.2005, 0.8565, 0.8565)  1 Cu 2.77, 2 Pt 2.79, 1 In 3.10
In (0.7995, 0.8565, 0.8565)  1 Cu 2.77, 2 Pt 2.79, 1 In 3.10
Na (0.5000, 0.4319, 0.4319)  3 Cu 2.98-3.12, 4 In 3.30
Na (0.0000, 0.5687, 0.5687)  3 Pt 2.98-3.12, 4 In 3.32
Pt (0.0000, 0.2832, 0.2832)  6 In 2.79-2.80, 3 Na 2.98-3.12

total magnetization = 0.00 μB/f.u.
crystal system = orthorhombic
space group = Amm2 (38)
energy = -3.16 eV/atom


Record 3
This record from the Open Quantum Materials Database describes crystalline Nd2GaGe at its relaxed geometry. The functional is GGA-PBE.

Unit cell a=4.1535 b=6.0489 c=6.0489 alpha=42.22 beta=90.00 gamma=90.00
Closest atoms and distances in Å follow each position.
Element x y z (fractional)
Ga (0.0000, 0.9259, 0.9259)  2 Ge 2.67
Ge (0.5000, 0.0739, 0.0739)  2 Ga 2.67
Nd (0.5000, 0.3590, 0.3590)  4 Ga 3.10, 3 Ge 3.22-3.26
Nd (0.0000, 0.6412, 0.6412)  4 Ge 3.10, 3 Ga 3.21-3.26

total magnetization = 0.61 μB/f.u.
crystal system = orthorhombic
space group = Amm2 (38)
energy = -5.05 eV/atom


Record 4
This record from the Open Quantum Materials Database describes crystalline PrTlHgS3 at its relaxed geometry. The functional is GGA-PBE.

Unit cell a=11.1142 b=4.2597 c=14.1641 alpha=90.00 beta=90.00 gamma=90.00
Closest atoms and distances in Å follow each position.
Element x y z (fractional)
Hg (0.7380, 0.2500, 0.1998)  4 S 2.49-2.71
Hg (0.2380, 0.2500, 0.3002)  4 S 2.49-2.71
Hg (0.7620, 0.7500, 0.6998)  4 S 2.49-2.71
Hg (0.2620, 0.7500, 0.8002)  4 S 2.49-2.71
Pr (0.9889, 0.7500, 0.2378)  6 S 2.88-2.97
Pr (0.4889, 0.7500, 0.2622)  6 S 2.88-2.97
Pr (0.5111, 0.2500, 0.7378)  6 S 2.88-2.97
Pr (0.0111, 0.2500, 0.7622)  6 S 2.88-2.97
S (0.9303, 0.2500, 0.1091)  1 Hg 2.49
S (0.5325, 0.2500, 0.1270)  1 Hg 2.51
S (0.2422, 0.7500, 0.1817)  2 Hg 2.71, 2 Pr 2.93-2.97
S (0.7422, 0.7500, 0.3183)  2 Hg 2.71, 2 Pr 2.93-2.97
S (0.0325, 0.2500, 0.3730)  1 Hg 2.51
S (0.4303, 0.2500, 0.3909)  1 Hg 2.49
S (0.5697, 0.7500, 0.6091)  1 Hg 2.49
S (0.9675, 0.7500, 0.6270)  1 Hg 2.51
S (0.2578, 0.2500, 0.6817)  2 Hg 2.71, 2 Pr 2.93-2.97
S (0.7578, 0.2500, 0.8183)  2 Hg 2.71, 2 Pr 2.93-2.97
S (0.4675, 0.7500, 0.8730)  1 Hg 2.51
S (0.0697, 0.7500, 0.8909)  1 Hg 2.49
Tl (0.2819, 0.2500, 0.0141)  5 S 3.21-3.58
Tl (0.7819, 0.2500, 0.4859)  5 S 3.21-3.58
Tl (0.2181, 0.7500, 0.5141)  5 S 3.21-3.58
Tl (0.7181, 0.7500, 0.9859)  5 S 3.21-3.58

total magnetization = 0.00 μB/f.u.
crystal system = orthorhombic
space group = Pnma (62)
energy = -4.26 eV/atom
energy above the most stable polymorph in this dataset = 0.00 eV per formula unit